## RbAl2ZnGa8 (PBE)

Data for a geometry-optimized RbAl2ZnGa8 structure.

DOS(E_F) ... 3.0 states/eV/f.u.
Calculated density ... 4.371 g/cm³
Energy ... -2.75 eV per atom
Energy relative to the elements ... 0.0772 eV/atom

```
data_RbAl2ZnGa8
_chemical_formula_sum 'Rb2 Al4 Zn2 Ga16'
_symmetry_space_group_name_H-M 'C 1 2/m 1'
_symmetry_Int_Tables_number 12
_cell_length_a 9.020
_cell_length_b 5.145
_cell_length_c 12.536
_cell_angle_alpha 90.00
_cell_angle_beta 95.08
_cell_angle_gamma 90.00
loop_
_symmetry_equiv_pos_as_xyz
'x,y,z'
'-x,-y,-z'
'-x,y,-z'
'x,-y,z'
'x+1/2,y+1/2,z'
'-x+1/2,-y+1/2,-z'
'-x+1/2,y+1/2,-z'
'x+1/2,-y+1/2,z'
loop_
_atom_site_label
_atom_site_type_symbol
_atom_site_fract_x
_atom_site_fract_y
_atom_site_fract_z
Rb1 Rb 0.000 0.000 0.000
Al1 Al 0.244 0.500 0.742
Zn1 Zn 0.000 0.000 0.500
Ga1 Ga 0.009 0.250 0.316
Ga2 Ga 0.175 0.500 0.509
Ga3 Ga 0.221 0.500 0.190
```

---

## NbPtS2 (PBE)

Data for a geometry-optimized NbPtS2 structure.

DOS(E_F) ... 3.9 states/eV/f.u.
Calculated density ... 7.731 g/cm³
Energy ... -6.01 eV per atom
Formation energy from raw total energies ... 0.08 eV/atom

```
data_NbPtS2
_chemical_formula_sum 'Nb3 Pt3 S6'
_symmetry_space_group_name_H-M 'R -3 m'
_symmetry_Int_Tables_number 166
_symmetry_space_group_name_Hall '-R 3 2"'
_cell_length_a 3.3783
_cell_length_b 3.3783
_cell_length_c 22.9546
_cell_angle_alpha 90.00
_cell_angle_beta 90.00
_cell_angle_gamma 120.00
loop_
_atom_site_label
_atom_site_type_symbol
_atom_site_fract_x
_atom_site_fract_y
_atom_site_fract_z
Nb1 Nb 0.0000 0.0000 0.0000
Pt1 Pt 0.0000 0.0000 0.5000
S1 S 0.0000 0.0000 0.1048
```

---

## GdDyZnAu (PBE)

Data for a geometry-optimized GdDyZnAu structure.

DOS(E_F) ... 3.0 states/eV/f.u.
Calculated density ... 10.287 g/cm³
Energy ... -6.39 eV per atom
Energy relative to the elements ... -0.5838 eV/atom

```
data_GdDyZnAu
_chemical_formula_sum 'Gd4 Dy4 Zn4 Au4'
_symmetry_space_group_name_H-M 'F -4 3 m'
_symmetry_Int_Tables_number 216
_symmetry_space_group_name_Hall 'F -4 2 3'
_cell_length_a 7.217
_cell_length_b 7.217
_cell_length_c 7.217
_cell_angle_alpha 90.00
_cell_angle_beta 90.00
_cell_angle_gamma 90.00
loop_
_atom_site_label
_atom_site_type_symbol
_atom_site_fract_x
_atom_site_fract_y
_atom_site_fract_z
Gd1 Gd 0.000 0.000 0.000
Dy1 Dy 0.000 0.000 0.500
Zn1 Zn 0.250 0.250 0.250
Au1 Au 0.250 0.250 0.750
```

---

## PuScReTc (PBE)

Data for a geometry-optimized PuScReTc structure.

DOS(E_F) ... 4.9 states/eV/f.u.
Calculated density ... 13.336 g/cm³
Energy ... -10.90 eV per atom
Energy relative to the elements ... -0.0334 eV/atom

```
data_PuScReTc
_chemical_formula_sum 'Pu4 Sc4 Re4 Tc4'
_symmetry_space_group_name_H-M 'F -4 3 m'
_symmetry_Int_Tables_number 216
_symmetry_space_group_name_Hall 'F -4 2 3'
_cell_length_a 6.584
_cell_length_b 6.584
_cell_length_c 6.584
_cell_angle_alpha 90.00
_cell_angle_beta 90.00
_cell_angle_gamma 90.00
loop_
_atom_site_label
_atom_site_type_symbol
_atom_site_fract_x
_atom_site_fract_y
_atom_site_fract_z
Pu1 Pu 0.000 0.000 0.000
Sc1 Sc 0.000 0.000 0.500
Re1 Re 0.250 0.250 0.250
Tc1 Tc 0.250 0.250 0.750
```